#1
VASP calculation (GGA-PBE) on a relaxed structure of Sr4Ga2N.

Results
The calculation puts the theoretical density at 3.8 g/cm³. The volume comes out at 221 Å³ per cell.

a b c (Å): 5.2651 5.2651 8.7843
angles (deg): 72.56 72.56 90.00
Sites, in units of the cell vectors:
Sr  0.1643  0.1643  0.6714
Sr  0.0000  0.5000  0.0000
Sr  0.5000  0.0000  0.0000
Sr  0.8357  0.8357  0.3286
Ga  0.6289  0.6289  0.7422
Ga  0.3711  0.3711  0.2578
N  0.0000  0.0000  0.0000


#2
VASP calculation (GGA-PBE) on a relaxed structure of Sr4Ga2N.

Results
The calculation puts the theoretical density at 3.9 g/cm³. The volume comes out at 213 Å³ per cell.

a b c (Å): 4.1491 6.7468 8.0351
angles (deg): 100.47 104.96 90.00
Sites, in units of the cell vectors:
N  0.0000  0.0000  0.0000
Sr  0.8581  0.1570  0.7163
Sr  0.4298  0.7569  0.8595
Sr  0.1419  0.8430  0.2837
Sr  0.5702  0.2431  0.1405
Ga  0.2475  0.3814  0.4951
Ga  0.7525  0.6186  0.5049


Relative energy table, unit kJ/mol of atoms: #1 8.7; #2 0.0


#1
VASP calculation (GGA-PBE) on a relaxed structure of SrGaTeN2.

Results
The calculation puts the theoretical density at 3.2 g/cm³. The volume comes out at 161 Å³ per cell.

a b c (Å): 4.8924 4.8924 6.7254
angles (deg): 90.00 90.00 90.00
Sites, in units of the cell vectors:
Ga  0.5000  0.5000  0.5000
N  0.0000  0.5000  0.0000
N  0.5000  0.0000  0.0000
Sr  0.0000  0.0000  0.0000
Te  0.0000  0.0000  0.5000


#2
VASP calculation (GGA-PBE) on a relaxed structure of SrGaTeN2.

Results
The calculation puts the theoretical density at 3.8 g/cm³. The volume comes out at 135 Å³ per cell.

a b c (Å): 4.2178 7.6151 4.2178
angles (deg): 90.00 90.00 90.00
Sites, in units of the cell vectors:
Sr  0.0000  0.5000  0.0000
N  0.0000  0.0000  0.5000
N  0.5000  0.0000  0.0000
Te  0.5000  0.5000  0.5000
Ga  0.0000  0.0000  0.0000


Relative energy table, unit kJ/mol of atoms: #1 32.3; #2 0.0


#1
VASP calculation (GGA-PBE) on a relaxed structure of Ta4Ga2N.

Results
The calculation puts the theoretical density at 13.2 g/cm³. The volume comes out at 220 Å³ per cell.

a b c (Å): 3.0689 7.2539 9.8992
angles (deg): 90.00 90.00 90.00
Sites, in units of the cell vectors:
Ga  0.5000  0.0613  0.1270
Ga  0.5000  0.9387  0.8730
Ga  0.5000  0.4387  0.6270
Ga  0.5000  0.5613  0.3730
Ta  0.5000  0.6807  0.0801
Ta  0.5000  0.8193  0.5801
Ta  0.0000  0.6399  0.8026
Ta  0.0000  0.8601  0.3026
Ta  0.5000  0.1807  0.4199
Ta  0.0000  0.1399  0.6974
Ta  0.5000  0.3193  0.9199
Ta  0.0000  0.3601  0.1974
N  0.0000  0.5000  0.0000
N  0.0000  0.0000  0.5000


#2
VASP calculation (GGA-PBE) on a relaxed structure of Ta4Ga2N.

Results
The calculation puts the theoretical density at 12.6 g/cm³. The volume comes out at 116 Å³ per cell.

a b c (Å): 4.0727 4.0727 7.5664
angles (deg): 74.39 74.39 90.00
Sites, in units of the cell vectors:
Ga  0.6463  0.6463  0.7074
Ga  0.3537  0.3537  0.2926
Ta  0.0000  0.5000  0.0000
Ta  0.5000  0.0000  0.0000
Ta  0.8358  0.8358  0.3285
Ta  0.1642  0.1642  0.6715
N  0.0000  0.0000  0.0000


Relative energy table, unit kJ/mol of atoms: #1 0.0; #2 31.0


#1
VASP calculation (GGA-PBE) on a relaxed structure of TaGa3N.

Results
The calculation puts the theoretical density at 8.9 g/cm³. The volume comes out at 75 Å³ per cell.

a b c (Å): 4.2180 4.2180 4.2180
angles (deg): 90.00 90.00 90.00
Sites, in units of the cell vectors:
Ga  0.0000  0.0000  0.5000
Ga  0.5000  0.0000  0.0000
Ga  0.0000  0.5000  0.0000
N  0.0000  0.0000  0.0000
Ta  0.5000  0.5000  0.5000


#2
VASP calculation (GGA-PBE) on a relaxed structure of TaGa3N.

Results
The calculation puts the theoretical density at 5.0 g/cm³. The volume comes out at 135 Å³ per cell.

a b c (Å): 5.1293 5.1293 5.1293
angles (deg): 90.00 90.00 90.00
Sites, in units of the cell vectors:
Ga  0.0000  0.0000  0.5000
Ga  0.0000  0.5000  0.0000
Ga  0.5000  0.0000  0.0000
N  0.5000  0.5000  0.5000
Ta  0.0000  0.0000  0.0000


Relative energy table, unit kJ/mol of atoms: #1 0.0; #2 93.5


#1
VASP calculation (GGA-PBE) on a relaxed structure of TaGaTeN2.

Results
The calculation puts the theoretical density at 7.9 g/cm³. The volume comes out at 86 Å³ per cell.

a b c (Å): 3.9696 3.9696 5.4486
angles (deg): 90.00 90.00 90.00
Sites, in units of the cell vectors:
Ta  0.5000  0.5000  0.5000
N  0.5000  0.0000  0.0000
N  0.0000  0.5000  0.0000
Te  0.0000  0.0000  0.5000
Ga  0.0000  0.0000  0.0000


#2
VASP calculation (GGA-PBE) on a relaxed structure of TaGaTeN2.

Results
The calculation puts the theoretical density at 7.0 g/cm³. The volume comes out at 96 Å³ per cell.

a b c (Å): 4.0505 4.0505 5.8349
angles (deg): 90.00 90.00 90.00
Sites, in units of the cell vectors:
Te  0.0000  0.0000  0.5000
N  0.5000  0.0000  0.0000
N  0.0000  0.5000  0.0000
Ta  0.0000  0.0000  0.0000
Ga  0.5000  0.5000  0.5000


Relative energy table, unit kJ/mol of atoms: #1 128.2; #2 0.0


#1
VASP calculation (GGA-PBE) on a relaxed structure of TaGaTe2N.

Results
The calculation puts the theoretical density at 8.2 g/cm³. The volume comes out at 105 Å³ per cell.

a b c (Å): 5.4766 5.4766 3.5148
angles (deg): 90.00 90.00 90.00
Sites, in units of the cell vectors:
Ga  0.0000  0.0000  0.0000
Ta  0.5000  0.5000  0.5000
N  0.0000  0.0000  0.5000
Te  0.5000  0.0000  0.0000
Te  0.0000  0.5000  0.0000


#2
VASP calculation (GGA-PBE) on a relaxed structure of TaGaTe2N.

Results
The calculation puts the theoretical density at 7.0 g/cm³. The volume comes out at 124 Å³ per cell.

a b c (Å): 5.6309 5.6309 3.9094
angles (deg): 90.00 90.00 90.00
Sites, in units of the cell vectors:
Ga  0.5000  0.5000  0.5000
N  0.0000  0.0000  0.5000
Te  0.5000  0.0000  0.0000
Te  0.0000  0.5000  0.0000
Ta  0.0000  0.0000  0.0000


Relative energy table, unit kJ/mol of atoms: #1 93.1; #2 0.0